(1)
## Y4TmSb5 (PBE)

Data for a relaxed Y4TmSb5 crystal.

M_tot ... 0.0 Bohr magnetons per cell
ρ ... 6330 kg/m³
Space group ... I4/m
Formation energy (no corrections) ... -1.146 eV per atom

a = 6.196 Å, b = 7.588 Å, c = 7.588 Å
α = 80.41°, β = 65.90°, γ = 65.90°
Positions (direct):
Tm 0.001 0.000 0.000
Y 0.201 0.201 0.399
Sb 0.501 0.000 0.000
Y 0.600 0.601 0.201
Sb 0.901 0.397 0.802
Sb 0.299 0.802 0.603
Sb 0.703 0.198 0.397
Y 0.801 0.799 0.601
Sb 0.101 0.603 0.198
Y 0.402 0.399 0.799

=====

(2)
## YTm5Sb4 (PBE)

Data for a relaxed YTm5Sb4 crystal.

M_tot ... 0.0 Bohr magnetons per cell
ρ ... 7496 kg/m³
Space group ... C2/m
Formation energy (no corrections) ... -0.673 eV per atom

a = 4.269 Å, b = 8.322 Å, c = 9.471 Å
α = 105.81°, β = 103.02°, γ = 90.00°
Positions (direct):
Sb 0.329 0.916 0.659
Sb 0.671 0.084 0.341
Tm 0.500 0.500 0.000
Tm 0.838 0.183 0.677
Sb 0.010 0.262 0.021
Tm 0.181 0.350 0.362
Tm 0.819 0.650 0.638
Y 0.500 0.000 0.000
Sb 0.990 0.738 0.979
Tm 0.162 0.817 0.323

=====

(3)
## YTm2Sb (PBE)

Data for a relaxed YTm2Sb crystal.

M_tot ... 0.0 Bohr magnetons per cell
ρ ... 8489 kg/m³
Offset from the most stable computed form ... 0.113 eV per atom
Space group ... P4/mmm
Formation energy (no corrections) ... -0.441 eV per atom

a = 4.774 Å, b = 4.741 Å, c = 4.741 Å
α = 90.00°, β = 90.00°, γ = 90.00°
Positions (direct):
Tm 0.000 0.000 0.500
Y 0.500 0.000 0.000
Sb 0.500 0.500 0.500
Tm 0.000 0.500 0.000

=====

(4)
## Y2TmSb (PBE)

Data for a relaxed Y2TmSb crystal.

M_tot ... 0.0 Bohr magnetons per cell
ρ ... 7131 kg/m³
Offset from the most stable computed form ... 0.039 eV per atom
Space group ... P4/mmm
Formation energy (no corrections) ... -0.454 eV per atom

a = 4.747 Å, b = 4.794 Å, c = 4.794 Å
α = 90.00°, β = 90.00°, γ = 90.00°
Positions (direct):
Y 0.000 0.000 0.500
Sb 0.500 0.000 0.000
Y 0.000 0.500 0.000
Tm 0.500 0.500 0.500